# HoV2AgO8 | Alexandria via LeMat-Bulk | PBE with a Hubbard U | relaxed
data_HoV2AgO8
_space_group_name_H-M_alt 'P 1'
_space_group_IT_number 1
_cell_length_a 5.862
_cell_length_b 5.862
_cell_length_c 6.138
_cell_angle_alpha 90.00
_cell_angle_beta 90.00
_cell_angle_gamma 120.00
loop_
_space_group_symop_operation_xyz
'x,y,z'
loop_
_atom_site_label
_atom_site_type_symbol
_atom_site_fract_x
_atom_site_fract_y
_atom_site_fract_z
Ho1 Ho 0.000 0.000 0.000
V1 V 0.333 0.667 0.667
V2 V 0.667 0.333 0.333
Ag1 Ag 0.000 0.000 0.500
O1 O 0.165 0.329 0.753
O2 O 0.165 0.835 0.753
O3 O 0.329 0.165 0.247
O4 O 0.333 0.667 0.400
O5 O 0.667 0.333 0.600
O6 O 0.671 0.835 0.753
O7 O 0.835 0.165 0.247
O8 O 0.835 0.671 0.247
# **Total magnetization**: 2.06 μB/cell
# **E_tot**: -6.9029 eV per atom